Here is TbInHg after structural relaxation from OQMD via LeMat-Bulk. Energies are from GGA-PBE.

## Properties
Energy in eV/atom: -2.80
M_tot in μB/cell: 0.000

abc: 4.908 4.908 4.908
angles: 60.00 60.00 60.00
Element x y z (fractional)
Hg 0.500 0.500 0.500
In 0.750 0.750 0.750
Tb 0.000 0.000 0.000